Record 1
The following is a PBE calculation of a geometry-optimized PmTmCo structure, from Alexandria via LeMat-Bulk.

Cell and atoms, written as CIF:
```
data_PmTmCo
_cell_length_a 3.374
_cell_length_b 6.811
_cell_length_c 6.801
_cell_angle_alpha 105.12
_cell_angle_beta 104.34
_cell_angle_gamma 90.03
_symmetry_space_group_name_H-M 'P 1'
_symmetry_Int_Tables_number 1
_symmetry_space_group_name_Hall 'P 1'
loop_
_atom_site_label
_atom_site_type_symbol
_atom_site_fract_x
_atom_site_fract_y
_atom_site_fract_z
Pm1 Pm 0.568 0.619 0.903
Pm2 Pm 0.310 0.485 0.386
Tm1 Tm 0.313 0.990 0.392
Tm2 Tm 0.565 0.114 0.897
Co1 Co 0.942 0.287 0.650
Co2 Co 0.936 0.817 0.639
```

Calculated values
The calculation puts the relative energy among the computed polymorphs at 0.049 eV per atom. The calculation puts the total magnetization at 1.23 μB/cell. Its formation enthalpy at 0 K is -75.2 meV per atom.

***

Record 2
The following is a PBE calculation of a geometry-optimized Pm6Ge3B structure, from Alexandria via LeMat-Bulk.

Cell and atoms, written as CIF:
```
data_Pm6Ge3B
_cell_length_a 8.469
_cell_length_b 8.469
_cell_length_c 8.469
_cell_angle_alpha 97.79
_cell_angle_beta 97.79
_cell_angle_gamma 97.79
_symmetry_space_group_name_H-M 'P 1'
_symmetry_Int_Tables_number 1
_symmetry_space_group_name_Hall 'P 1'
loop_
_atom_site_label
_atom_site_type_symbol
_atom_site_fract_x
_atom_site_fract_y
_atom_site_fract_z
Pm1 Pm 0.564 0.430 0.200
Pm2 Pm 0.200 0.564 0.430
Pm3 Pm 0.931 0.691 0.045
Pm4 Pm 0.955 0.069 0.309
Pm5 Pm 0.069 0.309 0.955
Pm6 Pm 0.430 0.200 0.564
Pm7 Pm 0.045 0.931 0.691
Pm8 Pm 0.800 0.436 0.570
Pm9 Pm 0.309 0.955 0.069
Pm10 Pm 0.436 0.570 0.800
Pm11 Pm 0.691 0.045 0.931
Pm12 Pm 0.570 0.800 0.436
B1 B 0.500 0.500 0.500
B2 B 0.000 0.000 0.000
Ge1 Ge 0.887 0.710 0.392
Ge2 Ge 0.392 0.887 0.710
Ge3 Ge 0.608 0.113 0.290
Ge4 Ge 0.290 0.608 0.113
Ge5 Ge 0.113 0.290 0.608
Ge6 Ge 0.710 0.392 0.887
```

Calculated values
The calculation puts the total magnetization at 0.00 μB/cell. Its formation enthalpy at 0 K is -434.8 meV per atom.

***

Record 3
The following is a PBE calculation of a geometry-optimized TlSbSe2 structure, from Alexandria via LeMat-Bulk.

Cell and atoms, written as CIF:
```
data_TlSbSe2
_cell_length_a 4.132
_cell_length_b 3.227
_cell_length_c 8.357
_cell_angle_alpha 89.98
_cell_angle_beta 90.00
_cell_angle_gamma 90.00
_symmetry_space_group_name_H-M 'P 1'
_symmetry_Int_Tables_number 1
_symmetry_space_group_name_Hall 'P 1'
loop_
_atom_site_label
_atom_site_type_symbol
_atom_site_fract_x
_atom_site_fract_y
_atom_site_fract_z
Sb1 Sb 0.500 0.750 0.750
Se1 Se 0.000 0.750 0.990
Se2 Se 0.000 0.750 0.510
Tl1 Tl 0.500 0.250 0.250
```

Calculated values
Its uncorrected formation energy is -167 meV/atom. The calculation puts the total magnetization at 0.00 μB/cell.

***

Record 4
The following is a PBE calculation of a geometry-optimized SrYSi2Te structure, from Alexandria via LeMat-Bulk.

Cell and atoms, written as CIF:
```
data_SrYSi2Te
_cell_length_a 5.555
_cell_length_b 5.529
_cell_length_c 5.555
_cell_angle_alpha 90.00
_cell_angle_beta 90.00
_cell_angle_gamma 90.00
_symmetry_space_group_name_H-M 'P 1'
_symmetry_Int_Tables_number 1
_symmetry_space_group_name_Hall 'P 1'
loop_
_atom_site_label
_atom_site_type_symbol
_atom_site_fract_x
_atom_site_fract_y
_atom_site_fract_z
Sr1 Sr 0.500 0.500 0.500
Y1 Y 0.000 0.500 0.000
Si1 Si 0.000 0.000 0.500
Si2 Si 0.500 0.000 0.000
Te1 Te 0.000 0.000 0.000
```

Calculated values
Its uncorrected formation energy is 436 meV/atom. The calculation puts the total magnetization at 0.00 μB/cell.